# Zr2Si2Tc

An optimized crystal structure of Zr2Si2Tc (PBE, the Alexandria database).

a = 6.5681 Å, b = 6.5681 Å, c = 3.9273 Å
α = 90.00°, β = 90.00°, γ = 90.00°
Last column: nearest neighbours and their distance in Å.
Fractional coordinates of all 10 atoms:
Zr  0.6729  0.8271  0.5000  6 Si 2.68-2.81
Si  0.8687  0.6313  0.0000  1 Si 2.44, 2 Tc 2.57, 2 Zr 2.68
Si  0.3687  0.8687  0.0000  1 Si 2.44, 2 Tc 2.57, 2 Zr 2.68
Tc  0.5000  0.5000  0.0000  4 Si 2.57
Zr  0.3271  0.1729  0.5000  6 Si 2.68-2.81
Si  0.1313  0.3687  0.0000  1 Si 2.44, 2 Tc 2.57, 2 Zr 2.68
Zr  0.8271  0.3271  0.5000  6 Si 2.68-2.81
Zr  0.1729  0.6729  0.5000  6 Si 2.68-2.81
Tc  0.0000  0.0000  0.0000  4 Si 2.57
Si  0.6313  0.1313  0.0000  1 Si 2.44, 2 Tc 2.57, 2 Zr 2.68

Results
E_form (uncorrected) in eV per atom: -0.8356